No. 1
Tm2NbPd | PBE | optimized geometry

Cell lengths 3.3383, 3.3383, 7.8605 Å; angles 90.00, 90.00, 90.00 degrees
Last column: nearest neighbours and their distance in Å.
Fractional coordinates of all 4 atoms:
1 Pd 0.5000 0.5000 0.5000  8 Tm 2.96
2 Nb 0.5000 0.5000 0.0000  8 Tm 3.19, 4 Nb 3.34
3 Tm 0.0000 0.0000 0.2724  4 Pd 2.96, 4 Nb 3.19
4 Tm 0.0000 0.0000 0.7276  4 Pd 2.96, 4 Nb 3.19

Computed properties:
E_form ... -0.28 eV/atom
Calculated volume ... 21.90 Å³/atom
Uncorrected energy ... -6.33 eV/atom

***

No. 2
UNbPd | PBE | optimized geometry

Cell lengths 3.3660, 3.3660, 9.6191 Å; angles 90.00, 90.00, 90.00 degrees
Last column: nearest neighbours and their distance in Å.
Fractional coordinates of all 6 atoms:
1 Pd 0.5000 0.0000 0.0821  5 Nb 2.76-2.98, 4 Pd 2.86
2 Pd 0.0000 0.5000 0.9179  5 Nb 2.76-2.98, 4 Pd 2.86
3 U 0.0000 0.5000 0.5717  4 U 2.75, 4 Nb 3.07
4 U 0.5000 0.0000 0.4283  4 U 2.75, 4 Nb 3.07
5 Nb 0.0000 0.5000 0.2273  5 Pd 2.76-2.98, 4 U 3.07
6 Nb 0.5000 0.0000 0.7727  5 Pd 2.76-2.98, 4 U 3.07

Computed properties:
E_form ... -0.11 eV/atom
Calculated volume ... 18.16 Å³/atom
Uncorrected energy ... -8.96 eV/atom
Relative energy among the computed polymorphs ... 0.00 kcal/mol of atoms

***

No. 3
U2NbPd9 | PBE | optimized geometry

Cell lengths 4.1061, 4.1061, 12.2499 Å; angles 90.00, 90.00, 90.00 degrees
Last column: nearest neighbours and their distance in Å.
Fractional coordinates of all 12 atoms:
1 Pd 0.0000 0.5000 0.5000  8 Pd 2.90-2.94, 4 U 2.94
2 Pd 0.5000 0.0000 0.8440  2 Nb 2.80, 8 Pd 2.80-2.94, 2 U 2.94
3 Pd 0.5000 0.5000 0.3280  4 U 2.90, 8 Pd 2.94
4 Pd 0.0000 0.5000 0.8440  2 Nb 2.80, 8 Pd 2.80-2.94, 2 U 2.94
5 Pd 0.5000 0.5000 0.6720  4 U 2.90, 8 Pd 2.94
6 Pd 0.0000 0.5000 0.1560  2 Nb 2.80, 8 Pd 2.80-2.94, 2 U 2.94
7 Pd 0.5000 0.0000 0.5000  8 Pd 2.90-2.94, 4 U 2.94
8 Pd 0.5000 0.5000 0.0000  8 Pd 2.80, 4 Nb 2.90
9 Pd 0.5000 0.0000 0.1560  8 Pd 2.80-2.94, 2 Nb 2.80, 2 U 2.94
10 U 0.0000 0.0000 0.6720  12 Pd 2.90-2.94
11 U 0.0000 0.0000 0.3280  12 Pd 2.90-2.94
12 Nb 0.0000 0.0000 0.0000  12 Pd 2.80-2.90

Computed properties:
E_form ... -0.42 eV/atom
Calculated volume ... 17.21 Å³/atom
Uncorrected energy ... -7.04 eV/atom